NdTh4Zn5: relaxed, PBE.

Cell and atoms, written as POSCAR:
```
NdTh4Zn5
1.0
-0.1272 3.1499 -1.8813
-3.4938 -0.6786 -0.8998
-5.5946 8.7893 15.0942
Nd Th Zn
1 4 5
direct
0.0000 0.0000 0.0000
0.0000 0.0000 0.2010
0.0000 0.0000 0.4004
0.0000 0.0000 0.5996
0.0000 0.0000 0.7990
0.5000 0.5000 0.0993
0.5000 0.5000 0.3006
0.5000 0.5000 0.5000
0.5000 0.5000 0.6994
0.5000 0.5000 0.9007
```

Computed properties:
Energy of formation = -0.2030 eV/atom
Total energy = -4.28 eV/atom